Record 1
First-principles (PBE-GGA) data for a relaxed structure of MgBe2Fe2, as listed in Alexandria via LeMat-Bulk.

Symmetry: No. 127
Formation energy: 0.030 eV/atom

abc: 6.314 6.314 2.734
angles: 90.00 90.00 90.00
Fractional coordinates of all 10 atoms:
Mg: 0.000 0.000 0.000
Mg: 0.500 0.500 0.000
Be: 0.120 0.380 0.000
Be: 0.380 0.880 0.000
Be: 0.620 0.120 0.000
Be: 0.880 0.620 0.000
Fe: 0.167 0.667 0.500
Fe: 0.333 0.167 0.500
Fe: 0.667 0.833 0.500
Fe: 0.833 0.333 0.500



Record 2
First-principles (PBE-GGA) data for a relaxed structure of MgBeFe4, as listed in Alexandria via LeMat-Bulk.

Symmetry: No. 216
Formation energy: 0.227 eV/atom

abc: 4.699 4.699 4.699
angles: 60.00 60.00 60.00
Fractional coordinates of all 6 atoms:
Mg: 0.000 0.000 0.000
Be: 0.750 0.750 0.750
Fe: 0.376 0.376 0.376
Fe: 0.376 0.376 0.873
Fe: 0.376 0.873 0.376
Fe: 0.873 0.376 0.376



Record 3
First-principles (PBE-GGA) data for a relaxed structure of MgMnBeFe2, as listed in Alexandria via LeMat-Bulk.

Symmetry: No. 123
Formation energy: 1.028 eV/atom

abc: 3.884 3.884 4.129
angles: 90.00 90.00 90.00
Fractional coordinates of all 5 atoms:
Mg: 0.000 0.000 0.000
Mn: 0.500 0.500 0.000
Be: 0.000 0.000 0.500
Fe: 0.000 0.500 0.500
Fe: 0.500 0.000 0.500



Record 4
First-principles (PBE-GGA) data for a relaxed structure of Mg2BeFeSe, as listed in Alexandria via LeMat-Bulk.

Formation energy without anion corrections: 0.530 eV/atom
Symmetry: No. 123

abc: 4.955 4.955 4.243
angles: 90.00 90.00 90.00
Fractional coordinates of all 5 atoms:
Mg: 0.000 0.500 0.000
Mg: 0.500 0.000 0.000
Be: 0.000 0.000 0.500
Fe: 0.500 0.500 0.000
Se: 0.500 0.500 0.500



Record 5
First-principles (PBE-GGA) data for a relaxed structure of MnBeFe2, as listed in Alexandria via LeMat-Bulk.

Symmetry: No. 25
Formation energy: -0.001 eV/atom

abc: 2.450 3.471 4.778
angles: 90.00 90.00 90.00
Fractional coordinates of all 4 atoms:
Mn: 0.000 0.000 0.000
Be: 0.500 0.500 0.251
Fe: 0.000 0.000 0.480
Fe: 0.500 0.500 0.751



Record 6
First-principles (PBE-GGA) data for a relaxed structure of MnBeFe, as listed in Alexandria via LeMat-Bulk.

Symmetry: No. 156
Formation energy: -0.030 eV/atom

abc: 3.761 3.761 2.398
angles: 90.00 90.00 120.00
Fractional coordinates of all 3 atoms:
Mn: 0.000 0.000 0.000
Be: 0.667 0.333 0.367
Fe: 0.333 0.667 0.674



Record 7
First-principles (PBE-GGA) data for a relaxed structure of Mn2BeFe, as listed in Alexandria via LeMat-Bulk.

Symmetry: No. 25
Formation energy: -0.044 eV/atom

abc: 2.519 3.316 5.000
angles: 90.00 90.00 90.00
Fractional coordinates of all 4 atoms:
Mn: 0.000 0.000 0.000
Mn: 0.500 0.500 0.260
Be: 0.000 0.000 0.503
Fe: 0.500 0.500 0.730



Record 8
First-principles (PBE-GGA) data for a relaxed structure of MnBeFe2, as listed in Alexandria via LeMat-Bulk.

Symmetry: No. 123
Formation energy: -0.001 eV/atom

abc: 3.387 3.387 3.653
angles: 90.00 90.00 90.00
Fractional coordinates of all 4 atoms:
Mn: 0.000 0.000 0.000
Be: 0.500 0.500 0.000
Fe: 0.000 0.500 0.500
Fe: 0.500 0.000 0.500



Record 9
First-principles (PBE-GGA) data for a relaxed structure of Mn2BeFe2, as listed in Alexandria via LeMat-Bulk.

Symmetry: No. 127
Formation energy: 0.286 eV/atom

abc: 6.626 6.626 2.483
angles: 90.00 90.00 90.00
Fractional coordinates of all 10 atoms:
Mn: 0.169 0.331 0.000
Mn: 0.331 0.831 0.000
Mn: 0.669 0.169 0.000
Mn: 0.831 0.669 0.000
Be: 0.000 0.000 0.500
Be: 0.500 0.500 0.500
Fe: 0.126 0.626 0.500
Fe: 0.374 0.126 0.500
Fe: 0.626 0.874 0.500
Fe: 0.874 0.374 0.500



Record 10
First-principles (PBE-GGA) data for a relaxed structure of MnBeFe2, as listed in Alexandria via LeMat-Bulk.

Symmetry: No. 8
Formation energy: 0.020 eV/atom

abc: 4.213 4.213 4.225
angles: 98.84 98.84 33.95
Fractional coordinates of all 4 atoms:
Mn: 0.000 0.000 0.000
Be: 0.751 0.751 0.275
Fe: 0.251 0.251 0.774
Fe: 0.497 0.497 0.484



Record 11
First-principles (PBE-GGA) data for a relaxed structure of MnBeFe2, as listed in Alexandria via LeMat-Bulk.

Symmetry: No. 123
Formation energy: -0.079 eV/atom

abc: 2.504 2.504 6.408
angles: 90.00 90.00 90.00
Fractional coordinates of all 4 atoms:
Mn: 0.000 0.000 0.000
Be: 0.000 0.000 0.500
Fe: 0.500 0.500 0.272
Fe: 0.500 0.500 0.728



Record 12
First-principles (PBE-GGA) data for a relaxed structure of Mn2BeFe, as listed in Alexandria via LeMat-Bulk.

Symmetry: No. 99
Formation energy: -0.017 eV/atom

abc: 2.705 2.705 5.375
angles: 90.00 90.00 90.00
Fractional coordinates of all 4 atoms:
Mn: 0.000 0.000 0.000
Mn: 0.500 0.500 0.249
Be: 0.000 0.000 0.492
Fe: 0.500 0.500 0.716



Record 13
First-principles (PBE-GGA) data for a relaxed structure of MnBe2Fe2, as listed in Alexandria via LeMat-Bulk.

Symmetry: No. 127
Formation energy: -0.104 eV/atom

abc: 5.868 5.868 2.818
angles: 90.00 90.00 90.00
Fractional coordinates of all 10 atoms:
Mn: 0.000 0.000 0.000
Mn: 0.500 0.500 0.000
Be: 0.124 0.376 0.000
Be: 0.376 0.876 0.000
Be: 0.624 0.124 0.000
Be: 0.876 0.624 0.000
Fe: 0.173 0.673 0.500
Fe: 0.327 0.173 0.500
Fe: 0.673 0.827 0.500
Fe: 0.827 0.327 0.500



Record 14
First-principles (PBE-GGA) data for a relaxed structure of Mn2BeFe, as listed in Alexandria via LeMat-Bulk.

Symmetry: No. 47
Formation energy: -0.007 eV/atom

abc: 2.445 3.574 4.557
angles: 90.00 90.00 90.00
Fractional coordinates of all 4 atoms:
Mn: 0.000 0.000 0.230
Mn: 0.000 0.000 0.770
Be: 0.500 0.500 0.000
Fe: 0.500 0.500 0.500



Record 15
First-principles (PBE-GGA) data for a relaxed structure of MnBeFe2, as listed in Alexandria via LeMat-Bulk.

Symmetry: No. 47
Formation energy: -0.037 eV/atom

abc: 2.456 3.454 4.840
angles: 90.00 90.00 90.00
Fractional coordinates of all 4 atoms:
Mn: 0.000 0.000 0.000
Be: 0.000 0.000 0.500
Fe: 0.500 0.500 0.262
Fe: 0.500 0.500 0.738



Record 16
First-principles (PBE-GGA) data for a relaxed structure of MnBe3Fe, as listed in Alexandria via LeMat-Bulk.

Symmetry: No. 221
Formation energy: 0.624 eV/atom

abc: 3.897 3.897 3.897
angles: 90.00 90.00 90.00
Fractional coordinates of all 5 atoms:
Mn: 0.000 0.000 0.000
Be: 0.000 0.500 0.500
Be: 0.500 0.000 0.500
Be: 0.500 0.500 0.000
Fe: 0.500 0.500 0.500



Record 17
First-principles (PBE-GGA) data for a relaxed structure of MnBeFe2, as listed in Alexandria via LeMat-Bulk.

Symmetry: No. 71
Formation energy: -0.015 eV/atom

abc: 4.377 4.377 4.377
angles: 141.04 128.99 66.00
Fractional coordinates of all 4 atoms:
Mn: 0.000 0.000 0.000
Be: 0.500 0.500 0.000
Fe: 0.255 0.755 0.500
Fe: 0.745 0.245 0.500



Record 18
First-principles (PBE-GGA) data for a relaxed structure of Mn2BeFe, as listed in Alexandria via LeMat-Bulk.

Symmetry: No. 123
Formation energy: 0.041 eV/atom

abc: 2.812 2.812 5.266
angles: 90.00 90.00 90.00
Fractional coordinates of all 4 atoms:
Mn: 0.000 0.000 0.239
Mn: 0.000 0.000 0.761
Be: 0.500 0.500 0.000
Fe: 0.500 0.500 0.500



Record 19
First-principles (PBE-GGA) data for a relaxed structure of Mn2BeFe, as listed in Alexandria via LeMat-Bulk.

Symmetry: No. 35
Formation energy: 0.044 eV/atom

abc: 2.400 2.400 7.636
angles: 90.00 90.00 109.40
Fractional coordinates of all 4 atoms:
Mn: 0.000 0.000 0.000
Mn: 0.500 0.500 0.257
Be: 0.500 0.500 0.758
Fe: 0.000 0.000 0.522



Record 20
First-principles (PBE-GGA) data for a relaxed structure of MnBeFe2, as listed in Alexandria via LeMat-Bulk.

Symmetry: No. 44
Formation energy: 0.004 eV/atom

abc: 4.469 4.469 4.469
angles: 144.31 129.70 63.20
Fractional coordinates of all 4 atoms:
Mn: 0.000 0.000 0.000
Be: 0.753 0.253 0.500
Fe: 0.254 0.754 0.500
Fe: 0.512 0.512 0.000



Record 21
First-principles (PBE-GGA) data for a relaxed structure of Mn2BeFe, as listed in Alexandria via LeMat-Bulk.

Symmetry: No. 160
Formation energy: 0.072 eV/atom

abc: 7.910 7.910 7.910
angles: 17.85 17.85 17.85
Fractional coordinates of all 4 atoms:
Mn: 0.000 0.000 0.000
Mn: 0.167 0.167 0.167
Be: 0.584 0.584 0.584
Fe: 0.417 0.417 0.417



Record 22
First-principles (PBE-GGA) data for a relaxed structure of MnBeFe2, as listed in Alexandria via LeMat-Bulk.

Symmetry: No. 166
Formation energy: 0.047 eV/atom

abc: 7.919 7.919 7.919
angles: 17.85 17.85 17.85
Fractional coordinates of all 4 atoms:
Mn: 0.000 0.000 0.000
Be: 0.500 0.500 0.500
Fe: 0.248 0.248 0.248
Fe: 0.752 0.752 0.752



Record 23
First-principles (PBE-GGA) data for a relaxed structure of Mn2BeFe2, as listed in Alexandria via LeMat-Bulk.

Symmetry: No. 71
Formation energy: 0.245 eV/atom

abc: 4.387 4.387 4.387
angles: 129.31 116.21 85.69
Fractional coordinates of all 5 atoms:
Mn: 0.191 0.191 0.000
Mn: 0.809 0.809 0.000
Be: 0.500 0.000 0.500
Fe: 0.241 0.500 0.741
Fe: 0.759 0.500 0.259



Record 24
First-principles (PBE-GGA) data for a relaxed structure of MnBeFe, as listed in Alexandria via LeMat-Bulk.

Symmetry: No. 107
Formation energy: -0.135 eV/atom

abc: 4.495 4.495 4.495
angles: 145.98 145.98 48.88
Fractional coordinates of all 3 atoms:
Mn: 0.000 0.000 0.000
Be: 0.331 0.331 0.000
Fe: 0.672 0.672 0.000



Record 25
First-principles (PBE-GGA) data for a relaxed structure of MnBeFe, as listed in Alexandria via LeMat-Bulk.

Symmetry: No. 42
Formation energy: 0.015 eV/atom

abc: 5.929 5.798 2.372
angles: 81.43 75.25 23.31
Fractional coordinates of all 3 atoms:
Mn: 0.000 0.000 0.000
Be: 0.660 0.660 0.340
Fe: 0.319 0.319 0.681



Record 26
First-principles (PBE-GGA) data for a relaxed structure of Mn2BeFe, as listed in Alexandria via LeMat-Bulk.

Symmetry: No. 65
Formation energy: 0.071 eV/atom

abc: 2.368 2.368 7.669
angles: 90.00 90.00 106.63
Fractional coordinates of all 4 atoms:
Mn: 0.000 0.000 0.237
Mn: 0.000 0.000 0.763
Be: 0.500 0.500 0.000
Fe: 0.500 0.500 0.500



Record 27
First-principles (PBE-GGA) data for a relaxed structure of Mn2BeFe, as listed in Alexandria via LeMat-Bulk.

Symmetry: No. 44
Formation energy: -0.007 eV/atom

abc: 4.423 4.423 4.423
angles: 142.88 128.52 65.16
Fractional coordinates of all 4 atoms:
Mn: 0.000 0.000 0.000
Mn: 0.751 0.251 0.500
Be: 0.251 0.751 0.500
Fe: 0.495 0.495 0.000



Record 28
First-principles (PBE-GGA) data for a relaxed structure of MnBe4Fe, as listed in Alexandria via LeMat-Bulk.

Symmetry: No. 216
Formation energy: -0.275 eV/atom

abc: 4.172 4.172 4.172
angles: 60.00 60.00 60.00
Fractional coordinates of all 6 atoms:
Mn: 0.000 0.000 0.000
Be: 0.126 0.625 0.625
Be: 0.625 0.126 0.625
Be: 0.625 0.625 0.126
Be: 0.625 0.625 0.625
Fe: 0.250 0.250 0.250



Record 29
First-principles (PBE-GGA) data for a relaxed structure of Mn2BeFe, as listed in Alexandria via LeMat-Bulk.

Symmetry: No. 166
Formation energy: 0.094 eV/atom

abc: 7.954 7.954 7.954
angles: 17.71 17.71 17.71
Fractional coordinates of all 4 atoms:
Mn: 0.249 0.249 0.249
Mn: 0.751 0.751 0.751
Be: 0.500 0.500 0.500
Fe: 0.000 0.000 0.000